# 1
Density functional theory data (GGA-PBE) for an optimized crystal structure of Ce2Dy6Y3Th.

a b c (Å): 6.1329 6.1329 11.7437
angles (deg): 95.00 95.00 119.99
With the nearest neighbours (Å) after each atom.
Element x y z (fractional)
Ce 0.1667 0.8333 0.0000  6 Dy 3.50-3.51, 3 Th 3.54, 3 Ce 3.54
Ce 0.8333 0.1667 0.0000  6 Dy 3.50-3.51, 3 Th 3.54, 3 Ce 3.54
Dy 0.0849 0.4173 0.7538  1 Th 3.50, 2 Ce 3.50-3.51, 6 Dy 3.53-3.55, 3 Y 3.57-3.58
Dy 0.2504 0.2504 0.2460  1 Th 3.50, 2 Ce 3.51, 6 Dy 3.53-3.55, 3 Y 3.58
Dy 0.4173 0.0849 0.7538  1 Th 3.50, 2 Ce 3.50-3.51, 6 Dy 3.53-3.55, 3 Y 3.57-3.58
Dy 0.5827 0.9151 0.2462  1 Th 3.50, 2 Ce 3.50-3.51, 6 Dy 3.53-3.55, 3 Y 3.57-3.58
Dy 0.7496 0.7496 0.7540  1 Th 3.50, 2 Ce 3.51, 6 Dy 3.53-3.55, 3 Y 3.58
Dy 0.9151 0.5827 0.2462  1 Th 3.50, 2 Ce 3.50-3.51, 6 Dy 3.53-3.55, 3 Y 3.57-3.58
Y 0.0000 0.0000 0.5000  6 Y 3.54, 6 Dy 3.57-3.58
Y 0.3332 0.6668 0.5000  6 Y 3.54, 6 Dy 3.58
Y 0.6668 0.3332 0.5000  6 Y 3.54, 6 Dy 3.58
Th 0.5000 0.5000 0.0000  6 Dy 3.50, 6 Ce 3.54

magnetization: 1.24 μB per cell
calculated density: 7732 kg/m3
calculated formation energy: 51 kJ/mol of formula units
Fermi-level density of states: 22.394 states/eV/cell
VASP energy: -5.481 eV per atom



# 2
Density functional theory data (GGA-PBE) for an optimized crystal structure of LiMgTlCo2.

a b c (Å): 4.2370 4.2370 4.5737
angles (deg): 90.00 90.00 90.00
With the nearest neighbours (Å) after each atom.
Element x y z (fractional)
Li 0.0000 0.0000 0.0000  4 Co 2.12, 2 Tl 2.29
Mg 0.5000 0.5000 0.5000  4 Tl 3.00, 8 Co 3.12
Tl 0.0000 0.0000 0.5000  2 Li 2.29
Co 0.0000 0.5000 0.0000  2 Li 2.12
Co 0.5000 0.0000 0.0000  2 Li 2.12

magnetization: 2.60 μB per cell
calculated density: 7149 kg/m3
calculated formation energy: 368 kJ/mol of formula units
Fermi-level density of states: 5.308 states/eV/cell
VASP energy: -3.255 eV per atom



# 3
Density functional theory data (GGA-PBE) for an optimized crystal structure of Zn2Bi2Sb.

a b c (Å): 9.0209 9.0209 3.3149
angles (deg): 90.00 90.00 90.00
With the nearest neighbours (Å) after each atom.
Element x y z (fractional)
Zn 0.0969 0.4031 0.0000  1 Zn 2.47
Zn 0.4031 0.9031 0.0000  1 Zn 2.47
Zn 0.5969 0.0969 0.0000  1 Zn 2.47
Zn 0.9031 0.5969 0.0000  1 Zn 2.47
Bi 0.2122 0.7122 0.5000  2 Zn 2.95, 2 Sb 3.23
Bi 0.2878 0.2122 0.5000  2 Zn 2.95, 2 Sb 3.23
Bi 0.7122 0.7878 0.5000  2 Zn 2.95, 2 Sb 3.23
Bi 0.7878 0.2878 0.5000  2 Zn 2.95, 2 Sb 3.23
Sb 0.0000 0.0000 0.5000  4 Bi 3.23, 2 Sb 3.31
Sb 0.5000 0.5000 0.5000  4 Bi 3.23, 2 Sb 3.31

magnetization: 0.00 μB per cell
calculated density: 8255 kg/m3
Fermi-level density of states: 4.867 states/eV/cell
raw formation energy: 0.175 eV/atom
VASP energy: -2.711 eV per atom



# 4
Density functional theory data (GGA-PBE) for an optimized crystal structure of KBeAgO2.

a b c (Å): 6.0869 6.0869 5.6416
angles (deg): 90.00 90.00 131.99
With the nearest neighbours (Å) after each atom.
Element x y z (fractional)
K 0.2500 0.7500 0.8035  2 O 2.75
K 0.7500 0.2500 0.1965  2 O 2.75
Be 0.2500 0.2500 0.0000  4 O 1.73
Be 0.7500 0.7500 0.0000  4 O 1.73
Ag 0.0000 0.0000 0.5000  2 O 2.15
Ag 0.5000 0.5000 0.5000  2 O 2.15
O 0.0767 0.9233 0.1505  2 Be 1.73
O 0.4233 0.5767 0.1505  2 Be 1.73
O 0.5767 0.4233 0.8495  2 Be 1.73
O 0.9233 0.0767 0.8495  2 Be 1.73

magnetization: 0.00 μB per cell
calculated density: 4018 kg/m3
raw formation energy: -1.388 eV/atom
VASP energy: -4.906 eV per atom



Question: What is the formula in the fourth record?
Answer: KBeAgO2